# 1
Crystalline Tb7Pr2Er4 at its relaxed geometry, computed with PBE.

Geometry as CIF:
```
data_Tb7Pr2Er4
_chemical_formula_sum 'Tb7 Pr2 Er4'
_cell_length_a 6.0949
_cell_length_b 6.0949
_cell_length_c 13.2770
_cell_angle_alpha 90.00
_cell_angle_beta 90.00
_cell_angle_gamma 120.00
_space_group_name_H-M_alt 'P -3 1 m'
_space_group_IT_number 162
_space_group_name_Hall '-P 3 2'
loop_
_atom_site_label
_atom_site_type_symbol
_atom_site_fract_x
_atom_site_fract_y
_atom_site_fract_z
Tb1 Tb 0.0000 0.0000 0.0000
Tb2 Tb 0.0000 0.3573 0.2199
Pr1 Pr 0.3333 0.6667 0.0000
Er1 Er 0.0000 0.0000 0.3950
Er2 Er 0.3333 0.6667 0.5000
```

Properties
The calculation puts the total DFT energy (no corrections) at -4.4411 eV per atom. The total magnetic moment is 0.000 μB/atom. The calculation puts the formation energy at 191.4 meV/atom. The volume comes out at 427.13 Å³/cell.

=====

# 2
Crystalline MgAgHg4 at its relaxed geometry, computed with PBE.

Geometry as CIF:
```
data_MgAgHg4
_chemical_formula_sum 'Mg4 Ag4 Hg16'
_cell_length_a 8.313
_cell_length_b 8.313
_cell_length_c 8.313
_cell_angle_alpha 90.00
_cell_angle_beta 90.00
_cell_angle_gamma 90.00
_space_group_name_H-M_alt 'F -4 3 m'
_space_group_IT_number 216
_space_group_name_Hall 'F -4 2 3'
loop_
_atom_site_label
_atom_site_type_symbol
_atom_site_fract_x
_atom_site_fract_y
_atom_site_fract_z
Mg1 Mg 0.000 0.000 0.000
Ag1 Ag 0.250 0.250 0.750
Hg1 Hg 0.125 0.125 0.375
```

Properties
The calculation puts the total DFT energy (no corrections) at -0.7347 eV per atom. The total magnetic moment is 0.000 μB/atom. The calculation puts the formation energy at 207.5 meV/atom. The volume comes out at 574.39 Å³/cell.

=====

# 3
Crystalline AcSn8 at its relaxed geometry, computed with PBE.

Geometry as CIF:
```
data_AcSn8
_chemical_formula_sum 'Ac2 Sn16'
_cell_length_a 10.302
_cell_length_b 10.302
_cell_length_c 4.915
_cell_angle_alpha 90.00
_cell_angle_beta 90.00
_cell_angle_gamma 90.00
_space_group_name_H-M_alt 'I 4/m m m'
_space_group_IT_number 139
_space_group_name_Hall '-I 4 2'
loop_
_atom_site_label
_atom_site_type_symbol
_atom_site_fract_x
_atom_site_fract_y
_atom_site_fract_z
Ac1 Ac 0.000 0.000 0.000
Sn1 Sn 0.000 0.342 0.000
Sn2 Sn 0.177 0.177 0.500
```

Properties
The calculation puts the total DFT energy (no corrections) at -4.1222 eV per atom. The total magnetic moment is 0.000 μB/atom. The calculation puts the formation energy at -107.6 meV/atom. The volume comes out at 521.61 Å³/cell.

=====

# 4
Crystalline Hf2ZrAg at its relaxed geometry, computed with PBE.

Geometry as CIF:
```
data_Hf2ZrAg
_chemical_formula_sum 'Hf8 Zr4 Ag4'
_cell_length_a 4.168
_cell_length_b 4.168
_cell_length_c 20.650
_cell_angle_alpha 90.00
_cell_angle_beta 90.00
_cell_angle_gamma 90.00
_space_group_name_H-M_alt 'I -4 2 d'
_space_group_IT_number 122
_space_group_name_Hall 'I -4 2bw'
loop_
_atom_site_label
_atom_site_type_symbol
_atom_site_fract_x
_atom_site_fract_y
_atom_site_fract_z
Hf1 Hf 0.250 0.250 0.125
Zr1 Zr 0.000 0.000 0.000
Ag1 Ag 0.000 0.000 0.500
```

Properties
The calculation puts the total DFT energy (no corrections) at -7.3714 eV per atom. The calculation puts the energy above the most stable polymorph in this dataset at 492 meV per atom. The total magnetic moment is 0.000 μB/atom. The calculation puts the formation energy at 455.1 meV/atom. The volume comes out at 358.77 Å³/cell.